1.
Computed, not measured: a geometry-optimized Pr4Te2PCl structure at the PBE level of DFT.

The structure in CIF format:
```
data_Pr4Te2PCl
_cell_length_a 7.556
_cell_length_b 4.280
_cell_length_c 7.656
_cell_angle_alpha 90.00
_cell_angle_beta 108.41
_cell_angle_gamma 90.00
_symmetry_space_group_name_H-M 'P 1'
_symmetry_Int_Tables_number 1
_symmetry_space_group_name_Hall 'P 1'
loop_
_atom_site_label
_atom_site_type_symbol
_atom_site_fract_x
_atom_site_fract_y
_atom_site_fract_z
Pr1 Pr 0.223 0.000 0.213
Pr2 Pr 0.239 0.500 0.780
Pr3 Pr 0.761 0.500 0.220
Pr4 Pr 0.777 0.000 0.787
Te1 Te 0.000 0.000 0.500
Te2 Te 0.500 0.500 0.500
P1 P 0.000 0.500 0.000
Cl1 Cl 0.500 0.000 0.000
```

Density of states at the Fermi level (states/eV per atom): 0.3885
Total magnetization (μB per formula unit): 0.0
Raw formation energy (meV/atom): -1505


2.
Computed, not measured: a geometry-optimized Pr6TlP2Cl3 structure at the PBE level of DFT.

The structure in CIF format:
```
data_Pr6TlP2Cl3
_cell_length_a 9.626
_cell_length_b 9.626
_cell_length_c 8.739
_cell_angle_alpha 102.57
_cell_angle_beta 102.57
_cell_angle_gamma 25.02
_symmetry_space_group_name_H-M 'P 1'
_symmetry_Int_Tables_number 1
_symmetry_space_group_name_Hall 'P 1'
loop_
_atom_site_label
_atom_site_type_symbol
_atom_site_fract_x
_atom_site_fract_y
_atom_site_fract_z
Pr1 Pr 0.013 0.013 0.269
Pr2 Pr 0.326 0.326 0.429
Pr3 Pr 0.331 0.331 0.879
Pr4 Pr 0.669 0.669 0.121
Pr5 Pr 0.674 0.674 0.571
Pr6 Pr 0.987 0.987 0.731
Tl1 Tl 0.500 0.500 0.000
P1 P 0.169 0.169 0.343
P2 P 0.831 0.831 0.657
Cl1 Cl 0.167 0.167 0.838
Cl2 Cl 0.500 0.500 0.500
Cl3 Cl 0.833 0.833 0.162
```

Density of states at the Fermi level (states/eV per atom): 0.3690
Total magnetization (μB per formula unit): 0.0
Raw formation energy (meV/atom): -1341


3.
Computed, not measured: a geometry-optimized Pr8ZnP3Cl4 structure at the PBE level of DFT.

The structure in CIF format:
```
data_Pr8ZnP3Cl4
_cell_length_a 8.517
_cell_length_b 8.517
_cell_length_c 8.517
_cell_angle_alpha 58.83
_cell_angle_beta 58.83
_cell_angle_gamma 58.83
_symmetry_space_group_name_H-M 'P 1'
_symmetry_Int_Tables_number 1
_symmetry_space_group_name_Hall 'P 1'
loop_
_atom_site_label
_atom_site_type_symbol
_atom_site_fract_x
_atom_site_fract_y
_atom_site_fract_z
Pr1 Pr 0.236 0.745 0.745
Pr2 Pr 0.239 0.239 0.239
Pr3 Pr 0.255 0.255 0.764
Pr4 Pr 0.255 0.764 0.255
Pr5 Pr 0.745 0.236 0.745
Pr6 Pr 0.745 0.745 0.236
Pr7 Pr 0.761 0.761 0.761
Pr8 Pr 0.764 0.255 0.255
Zn1 Zn 0.500 0.500 0.500
P1 P 0.000 0.000 0.500
P2 P 0.000 0.500 0.000
P3 P 0.500 0.000 0.000
Cl1 Cl 0.000 0.000 0.000
Cl2 Cl 0.000 0.500 0.500
Cl3 Cl 0.500 0.000 0.500
Cl4 Cl 0.500 0.500 0.000
```

Density of states at the Fermi level (states/eV per atom): 0.6240
Total magnetization (μB per formula unit): 0.0
Raw formation energy (meV/atom): -1400


4.
Computed, not measured: a geometry-optimized P2PtCl structure at the PBE level of DFT.

The structure in CIF format:
```
data_P2PtCl
_cell_length_a 3.405
_cell_length_b 3.405
_cell_length_c 7.008
_cell_angle_alpha 90.00
_cell_angle_beta 90.00
_cell_angle_gamma 90.00
_symmetry_space_group_name_H-M 'P 1'
_symmetry_Int_Tables_number 1
_symmetry_space_group_name_Hall 'P 1'
loop_
_atom_site_label
_atom_site_type_symbol
_atom_site_fract_x
_atom_site_fract_y
_atom_site_fract_z
P1 P 0.000 0.500 0.000
P2 P 0.500 0.000 0.000
Pt1 Pt 0.000 0.000 0.500
Cl1 Cl 0.500 0.500 0.500
```

Density of states at the Fermi level (states/eV per atom): 0.9256
Total magnetization (μB per formula unit): 0.0
ΔE to the lowest computed polymorph (eV/f.u.): 3.74
Raw formation energy (meV/atom): 625


5.
Computed, not measured: a geometry-optimized P2PtCl structure at the PBE level of DFT.

The structure in CIF format:
```
data_P2PtCl
_cell_length_a 4.358
_cell_length_b 4.358
_cell_length_c 7.954
_cell_angle_alpha 90.00
_cell_angle_beta 90.00
_cell_angle_gamma 135.14
_symmetry_space_group_name_H-M 'P 1'
_symmetry_Int_Tables_number 1
_symmetry_space_group_name_Hall 'P 1'
loop_
_atom_site_label
_atom_site_type_symbol
_atom_site_fract_x
_atom_site_fract_y
_atom_site_fract_z
P1 P 0.000 0.000 0.000
P2 P 0.500 0.500 0.175
Pt1 Pt 0.500 0.500 0.800
Cl1 Cl 0.000 0.000 0.575
```

Density of states at the Fermi level (states/eV per atom): 0.2548
Total magnetization (μB per formula unit): 0.0
ΔE to the lowest computed polymorph (eV/f.u.): 2.05
Raw formation energy (meV/atom): 201


6.
Computed, not measured: a geometry-optimized P2PtCl structure at the PBE level of DFT.

The structure in CIF format:
```
data_P2PtCl
_cell_length_a 2.906
_cell_length_b 2.906
_cell_length_c 9.423
_cell_angle_alpha 90.00
_cell_angle_beta 90.00
_cell_angle_gamma 90.00
_symmetry_space_group_name_H-M 'P 1'
_symmetry_Int_Tables_number 1
_symmetry_space_group_name_Hall 'P 1'
loop_
_atom_site_label
_atom_site_type_symbol
_atom_site_fract_x
_atom_site_fract_y
_atom_site_fract_z
P1 P 0.000 0.000 0.169
P2 P 0.000 0.000 0.831
Pt1 Pt 0.500 0.500 0.000
Cl1 Cl 0.500 0.500 0.500
```

Density of states at the Fermi level (states/eV per atom): 0.3769
Total magnetization (μB per formula unit): 0.0
ΔE to the lowest computed polymorph (eV/f.u.): 2.39
Raw formation energy (meV/atom): 286


7.
Computed, not measured: a geometry-optimized P2PtCl structure at the PBE level of DFT.

The structure in CIF format:
```
data_P2PtCl
_cell_length_a 6.726
_cell_length_b 6.726
_cell_length_c 6.726
_cell_angle_alpha 126.77
_cell_angle_beta 126.77
_cell_angle_gamma 78.63
_symmetry_space_group_name_H-M 'P 1'
_symmetry_Int_Tables_number 1
_symmetry_space_group_name_Hall 'P 1'
loop_
_atom_site_label
_atom_site_type_symbol
_atom_site_fract_x
_atom_site_fract_y
_atom_site_fract_z
P1 P 0.054 0.625 0.929
P2 P 0.375 0.304 0.429
P3 P 0.696 0.125 0.071
P4 P 0.875 0.946 0.571
Pt1 Pt 0.000 0.000 0.000
Pt2 Pt 0.750 0.250 0.500
Cl1 Cl 0.250 0.750 0.500
Cl2 Cl 0.500 0.500 0.000
```

Density of states at the Fermi level (states/eV per atom): 0.3663
Total magnetization (μB per formula unit): 0.0
ΔE to the lowest computed polymorph (eV/f.u.): 1.67
Raw formation energy (meV/atom): 107


8.
Computed, not measured: a geometry-optimized P2PtCl structure at the PBE level of DFT.

The structure in CIF format:
```
data_P2PtCl
_cell_length_a 6.507
_cell_length_b 6.507
_cell_length_c 6.507
_cell_angle_alpha 149.07
_cell_angle_beta 146.69
_cell_angle_gamma 46.09
_symmetry_space_group_name_H-M 'P 1'
_symmetry_Int_Tables_number 1
_symmetry_space_group_name_Hall 'P 1'
loop_
_atom_site_label
_atom_site_type_symbol
_atom_site_fract_x
_atom_site_fract_y
_atom_site_fract_z
P1 P 0.000 0.000 0.000
P2 P 0.614 0.114 0.500
Pt1 Pt 0.144 0.644 0.500
Cl1 Cl 0.325 0.325 0.000
```

Density of states at the Fermi level (states/eV per atom): 0.4365
Total magnetization (μB per formula unit): 0.0
ΔE to the lowest computed polymorph (eV/f.u.): 1.22
Raw formation energy (meV/atom): -5


9.
Computed, not measured: a geometry-optimized P2PtCl structure at the PBE level of DFT.

The structure in CIF format:
```
data_P2PtCl
_cell_length_a 4.433
_cell_length_b 3.840
_cell_length_c 4.910
_cell_angle_alpha 90.00
_cell_angle_beta 116.47
_cell_angle_gamma 90.00
_symmetry_space_group_name_H-M 'P 1'
_symmetry_Int_Tables_number 1
_symmetry_space_group_name_Hall 'P 1'
loop_
_atom_site_label
_atom_site_type_symbol
_atom_site_fract_x
_atom_site_fract_y
_atom_site_fract_z
P1 P 0.219 0.000 0.352
P2 P 0.781 0.000 0.648
Pt1 Pt 0.000 0.500 0.500
Cl1 Cl 0.500 0.500 0.000
```

Density of states at the Fermi level (states/eV per atom): 0.4363
Total magnetization (μB per formula unit): 0.0
ΔE to the lowest computed polymorph (eV/f.u.): 0.80
Raw formation energy (meV/atom): -111


10.
Computed, not measured: a geometry-optimized P2PtCl structure at the PBE level of DFT.

The structure in CIF format:
```
data_P2PtCl
_cell_length_a 4.408
_cell_length_b 4.408
_cell_length_c 4.408
_cell_angle_alpha 111.97
_cell_angle_beta 111.97
_cell_angle_gamma 104.58
_symmetry_space_group_name_H-M 'P 1'
_symmetry_Int_Tables_number 1
_symmetry_space_group_name_Hall 'P 1'
loop_
_atom_site_label
_atom_site_type_symbol
_atom_site_fract_x
_atom_site_fract_y
_atom_site_fract_z
P1 P 0.000 0.500 0.500
P2 P 0.500 0.000 0.500
Pt1 Pt 0.000 0.000 0.000
Cl1 Cl 0.500 0.500 0.000
```

Density of states at the Fermi level (states/eV per atom): 0.5836
Total magnetization (μB per formula unit): 0.0
ΔE to the lowest computed polymorph (eV/f.u.): 2.29
Raw formation energy (meV/atom): 262


11.
Computed, not measured: a geometry-optimized P2PtCl structure at the PBE level of DFT.

The structure in CIF format:
```
data_P2PtCl
_cell_length_a 4.446
_cell_length_b 4.446
_cell_length_c 6.286
_cell_angle_alpha 96.84
_cell_angle_beta 96.84
_cell_angle_gamma 42.81
_symmetry_space_group_name_H-M 'P 1'
_symmetry_Int_Tables_number 1
_symmetry_space_group_name_Hall 'P 1'
loop_
_atom_site_label
_atom_site_type_symbol
_atom_site_fract_x
_atom_site_fract_y
_atom_site_fract_z
P1 P 0.000 0.000 0.000
P2 P 0.666 0.666 0.161
Pt1 Pt 0.277 0.277 0.904
Cl1 Cl 0.276 0.276 0.510
```

Density of states at the Fermi level (states/eV per atom): 0.5742
Total magnetization (μB per formula unit): 0.0
ΔE to the lowest computed polymorph (eV/f.u.): 1.43
Raw formation energy (meV/atom): 47


12.
Computed, not measured: a geometry-optimized P2PtCl structure at the PBE level of DFT.

The structure in CIF format:
```
data_P2PtCl
_cell_length_a 3.210
_cell_length_b 3.210
_cell_length_c 6.894
_cell_angle_alpha 90.00
_cell_angle_beta 90.00
_cell_angle_gamma 90.00
_symmetry_space_group_name_H-M 'P 1'
_symmetry_Int_Tables_number 1
_symmetry_space_group_name_Hall 'P 1'
loop_
_atom_site_label
_atom_site_type_symbol
_atom_site_fract_x
_atom_site_fract_y
_atom_site_fract_z
P1 P 0.000 0.000 0.185
P2 P 0.000 0.000 0.815
Pt1 Pt 0.500 0.500 0.000
Cl1 Cl 0.500 0.500 0.500
```

Density of states at the Fermi level (states/eV per atom): 0.3701
Total magnetization (μB per formula unit): 0.0
ΔE to the lowest computed polymorph (eV/f.u.): 2.08
Raw formation energy (meV/atom): 209


| no. | energy (eV/f.u.) |
| --- | --- |
| 1 | -44.70 |
| 2 | -63.49 |
| 3 | -85.52 |
| 4 | -16.21 |
| 5 | -17.90 |
| 6 | -17.56 |
| 7 | -18.28 |
| 8 | -18.73 |
| 9 | -19.15 |
| 10 | -17.66 |
| 11 | -18.52 |
| 12 | -17.87 |